Record 1
# PBE ErPu2O11, optimized geometry
data_ErPu2O11
_cell_length_a 10.467
_cell_length_b 8.623
_cell_length_c 9.866
_cell_angle_alpha 90.00
_cell_angle_beta 90.00
_cell_angle_gamma 90.00
_space_group_name_H-M_alt 'I m a 2'
_space_group_IT_number 46
_space_group_name_Hall 'I 2 -2a'
loop_
_atom_site_label
_atom_site_fract_x
_atom_site_fract_y
_atom_site_fract_z
_atom_site_occupancy
Er1 0.000 0.000 0.000 1
Pu1 0.250 0.201 0.279 1
Pu2 0.250 0.737 0.239 1
O1 0.123 0.126 0.162 1
O2 0.124 0.680 0.625 1
O3 0.125 0.205 0.888 1
O4 0.125 0.629 0.342 1
O5 0.250 0.108 0.589 1
O6 0.250 0.535 0.065 1
O7 0.250 0.546 0.847 1
# E_form (uncorrected) = -1.903 eV per atom



Record 2
# PBE SiNiAsPb2, optimized geometry
data_SiNiAsPb2
_cell_length_a 5.444
_cell_length_b 5.444
_cell_length_c 4.608
_cell_angle_alpha 90.00
_cell_angle_beta 90.00
_cell_angle_gamma 90.00
_space_group_name_H-M_alt 'P 4/m m m'
_space_group_IT_number 123
_space_group_name_Hall '-P 4 2'
loop_
_atom_site_label
_atom_site_fract_x
_atom_site_fract_y
_atom_site_fract_z
_atom_site_occupancy
Si1 0.000 0.000 0.000 1
Ni1 0.500 0.500 0.500 1
As1 0.000 0.000 0.500 1
Pb1 0.000 0.500 0.000 1
# E_form (uncorrected) = 0.929 eV per atom



Record 3
# PBE CeTi2Ga, optimized geometry
data_CeTi2Ga
_cell_length_a 2.9110
_cell_length_b 2.9110
_cell_length_c 30.1574
_cell_angle_alpha 90.00
_cell_angle_beta 90.00
_cell_angle_gamma 120.00
_space_group_name_H-M_alt 'R -3 m'
_space_group_IT_number 166
_space_group_name_Hall '-R 3 2"'
loop_
_atom_site_label
_atom_site_fract_x
_atom_site_fract_y
_atom_site_fract_z
_atom_site_occupancy
Ce1 0.0000 0.0000 0.0000 1
Ti1 0.0000 0.0000 0.0926 1
Ga1 0.0000 0.0000 0.5000 1
# energy relative to the lowest polymorph listed for this composition = 0.170 eV per atom
# energy of formation = 0.022 eV/atom



Record 4
# PBE Sm2Er7Tm, optimized geometry
data_Sm2Er7Tm
_cell_length_a 6.101
_cell_length_b 7.062
_cell_length_c 7.882
_cell_angle_alpha 77.12
_cell_angle_beta 74.96
_cell_angle_gamma 73.39
_space_group_name_H-M_alt 'P -1'
_space_group_IT_number 2
_space_group_name_Hall '-P 1'
loop_
_atom_site_label
_atom_site_fract_x
_atom_site_fract_y
_atom_site_fract_z
_atom_site_occupancy
Sm1 0.201 0.299 0.101 1
Er1 0.000 0.500 0.500 1
Er2 0.199 0.800 0.101 1
Er3 0.400 0.101 0.698 1
Er4 0.400 0.601 0.699 1
Tm1 0.000 0.000 0.500 1
# energy relative to the lowest polymorph listed for this composition = 0.000 eV per atom
# energy of formation = 0.022 eV/atom



Record 5
# PBE Ce2SmOsN5, optimized geometry
data_Ce2SmOsN5
_cell_length_a 6.600
_cell_length_b 6.600
_cell_length_c 11.678
_cell_angle_alpha 90.00
_cell_angle_beta 90.00
_cell_angle_gamma 90.00
_space_group_name_H-M_alt 'I 4/m c m'
_space_group_IT_number 140
_space_group_name_Hall '-I 4 2c'
loop_
_atom_site_label
_atom_site_fract_x
_atom_site_fract_y
_atom_site_fract_z
_atom_site_occupancy
Ce1 0.177 0.323 0.000 1
Sm1 0.000 0.000 0.250 1
Os1 0.000 0.500 0.250 1
N1 0.000 0.000 0.000 1
N2 0.150 0.350 0.360 1
# E_form (uncorrected) = -0.907 eV per atom



Record 6
# PBE Li2GaPbO4, optimized geometry
data_Li2GaPbO4
_cell_length_a 4.944
_cell_length_b 4.944
_cell_length_c 8.320
_cell_angle_alpha 90.00
_cell_angle_beta 90.00
_cell_angle_gamma 90.00
_space_group_name_H-M_alt 'I -4 2 m'
_space_group_IT_number 121
_space_group_name_Hall 'I -4 2'
loop_
_atom_site_label
_atom_site_fract_x
_atom_site_fract_y
_atom_site_fract_z
_atom_site_occupancy
Li1 0.000 0.500 0.250 1
Ga1 0.000 0.000 0.000 1
Pb1 0.000 0.000 0.500 1
O1 0.217 0.217 0.134 1
# E_form (uncorrected) = -1.613 eV per atom



Record 7
# PBE KFeRe2, optimized geometry
data_KFeRe2
_cell_length_a 2.622
_cell_length_b 5.499
_cell_length_c 10.452
_cell_angle_alpha 90.00
_cell_angle_beta 90.00
_cell_angle_gamma 90.00
_space_group_name_H-M_alt 'I m m 2'
_space_group_IT_number 44
_space_group_name_Hall 'I 2 -2'
loop_
_atom_site_label
_atom_site_fract_x
_atom_site_fract_y
_atom_site_fract_z
_atom_site_occupancy
K1 0.000 0.000 0.000 1
Fe1 0.000 0.500 0.219 1
Re1 0.000 0.000 0.518 1
Re2 0.000 0.500 0.801 1
# energy relative to the lowest polymorph listed for this composition = 0.557 eV per atom
# energy of formation = 1.360 eV/atom



Record 8
# PBE La2CdHgRu, optimized geometry
data_La2CdHgRu
_cell_length_a 5.347
_cell_length_b 5.347
_cell_length_c 5.378
_cell_angle_alpha 90.00
_cell_angle_beta 90.00
_cell_angle_gamma 90.00
_space_group_name_H-M_alt 'P 4/m m m'
_space_group_IT_number 123
_space_group_name_Hall '-P 4 2'
loop_
_atom_site_label
_atom_site_fract_x
_atom_site_fract_y
_atom_site_fract_z
_atom_site_occupancy
La1 0.000 0.500 0.000 1
Cd1 0.000 0.000 0.500 1
Hg1 0.500 0.500 0.500 1
Ru1 0.500 0.500 0.000 1
# energy relative to the lowest polymorph listed for this composition = 0.160 eV per atom
# energy of formation = -0.228 eV/atom



Record 9
# PBE SrSmTl4, optimized geometry
data_SrSmTl4
_cell_length_a 9.015
_cell_length_b 9.015
_cell_length_c 9.015
_cell_angle_alpha 90.00
_cell_angle_beta 90.00
_cell_angle_gamma 90.00
_space_group_name_H-M_alt 'F -4 3 m'
_space_group_IT_number 216
_space_group_name_Hall 'F -4 2 3'
loop_
_atom_site_label
_atom_site_fract_x
_atom_site_fract_y
_atom_site_fract_z
_atom_site_occupancy
Sr1 0.000 0.000 0.000 1
Sm1 0.250 0.250 0.750 1
Tl1 0.125 0.125 0.375 1
# energy relative to the lowest polymorph listed for this composition = 0.134 eV per atom
# energy of formation = -0.150 eV/atom



Record 10
# PBE Ba4Ga2Br5, optimized geometry
data_Ba4Ga2Br5
_cell_length_a 22.098
_cell_length_b 4.884
_cell_length_c 8.434
_cell_angle_alpha 90.00
_cell_angle_beta 95.16
_cell_angle_gamma 90.00
_space_group_name_H-M_alt 'C 1 2/m 1'
_space_group_IT_number 12
_space_group_name_Hall '-C 2y'
loop_
_atom_site_label
_atom_site_fract_x
_atom_site_fract_y
_atom_site_fract_z
_atom_site_occupancy
Ba1 0.052 0.000 0.263 1
Ba2 0.193 0.500 0.740 1
Ga1 0.046 0.500 0.578 1
Br1 0.000 0.500 0.000 1
Br2 0.174 0.000 0.997 1
Br3 0.185 0.000 0.473 1
# E_form (uncorrected) = -1.469 eV per atom



Record 11
# PBE PuZr2Al, optimized geometry
data_PuZr2Al
_cell_length_a 3.081
_cell_length_b 3.081
_cell_length_c 9.124
_cell_angle_alpha 90.00
_cell_angle_beta 90.00
_cell_angle_gamma 90.00
_space_group_name_H-M_alt 'P 4/m m m'
_space_group_IT_number 123
_space_group_name_Hall '-P 4 2'
loop_
_atom_site_label
_atom_site_fract_x
_atom_site_fract_y
_atom_site_fract_z
_atom_site_occupancy
Pu1 0.000 0.000 0.000 1
Zr1 0.500 0.500 0.279 1
Al1 0.000 0.000 0.500 1
# energy relative to the lowest polymorph listed for this composition = 0.046 eV per atom
# energy of formation = -0.135 eV/atom



Record 12
# PBE HfIn2Br5Cl, optimized geometry
data_HfIn2Br5Cl
_cell_length_a 7.559
_cell_length_b 7.559
_cell_length_c 11.152
_cell_angle_alpha 90.00
_cell_angle_beta 90.00
_cell_angle_gamma 90.00
_space_group_name_H-M_alt 'I 4 m m'
_space_group_IT_number 107
_space_group_name_Hall 'I 4 -2'
loop_
_atom_site_label
_atom_site_fract_x
_atom_site_fract_y
_atom_site_fract_z
_atom_site_occupancy
Hf1 0.000 0.000 0.000 1
In1 0.000 0.500 0.182 1
Br1 0.000 0.000 0.235 1
Br2 0.246 0.246 0.006 1
Cl1 0.000 0.000 0.783 1
# E_form (uncorrected) = -1.149 eV per atom



Record 13
# PBE LiSi, optimized geometry
data_LiSi
_cell_length_a 3.504
_cell_length_b 4.260
_cell_length_c 8.394
_cell_angle_alpha 90.00
_cell_angle_beta 90.00
_cell_angle_gamma 90.00
_space_group_name_H-M_alt 'C m m e'
_space_group_IT_number 67
_space_group_name_Hall '-C 2a 2'
loop_
_atom_site_label
_atom_site_fract_x
_atom_site_fract_y
_atom_site_fract_z
_atom_site_occupancy
Li1 0.000 0.250 0.151 1
Si1 0.000 0.250 0.611 1
# E_form (uncorrected) = 0.093 eV per atom



Record 14
# PBE ZrTlTeO5, optimized geometry
data_ZrTlTeO5
_cell_length_a 7.681
_cell_length_b 10.083
_cell_length_c 7.939
_cell_angle_alpha 90.00
_cell_angle_beta 114.28
_cell_angle_gamma 90.00
_space_group_name_H-M_alt 'C 1 2/c 1'
_space_group_IT_number 15
_space_group_name_Hall '-C 2yc'
loop_
_atom_site_label
_atom_site_fract_x
_atom_site_fract_y
_atom_site_fract_z
_atom_site_occupancy
Zr1 0.000 0.000 0.000 1
Tl1 0.000 0.313 0.250 1
Te1 0.000 0.316 0.750 1
O1 0.000 0.056 0.250 1
O2 0.092 0.199 0.610 1
O3 0.213 0.423 0.916 1
# E_form (uncorrected) = -1.651 eV per atom



Record 15
# PBE YMgSi2Rh2, optimized geometry
data_YMgSi2Rh2
_cell_length_a 4.2112
_cell_length_b 4.2112
_cell_length_c 6.6319
_cell_angle_alpha 90.00
_cell_angle_beta 90.00
_cell_angle_gamma 120.00
_space_group_name_H-M_alt 'P -3 m 1'
_space_group_IT_number 164
_space_group_name_Hall '-P 3 2"'
loop_
_atom_site_label
_atom_site_fract_x
_atom_site_fract_y
_atom_site_fract_z
_atom_site_occupancy
Y1 0.0000 0.0000 0.0000 1
Mg1 0.0000 0.0000 0.5000 1
Si1 0.3333 0.6667 0.2715 1
Rh1 0.3333 0.6667 0.6468 1
# E_form (uncorrected) = -0.868 eV per atom



Record 16
# PBE HoP2RuRh, optimized geometry
data_HoP2RuRh
_cell_length_a 3.999
_cell_length_b 3.999
_cell_length_c 9.716
_cell_angle_alpha 90.00
_cell_angle_beta 90.00
_cell_angle_gamma 90.00
_space_group_name_H-M_alt 'I -4 m 2'
_space_group_IT_number 119
_space_group_name_Hall 'I -4 -2'
loop_
_atom_site_label
_atom_site_fract_x
_atom_site_fract_y
_atom_site_fract_z
_atom_site_occupancy
Ho1 0.000 0.000 0.000 1
P1 0.000 0.000 0.383 1
Ru1 0.000 0.500 0.750 1
Rh1 0.000 0.500 0.250 1
# energy of formation = -1.050 eV/atom